SrDyTl4 | GGA-PBE | relaxed

- crystal system = cubic
- volume (Å³ per cell) = 182.1
- symmetry = No. 216
- uncorrected energy (eV/cell) = -16.354
- energy above the lowest structure with this stoichiometry (eV per atom) = 0.152

a b c (Å): 6.363 6.363 6.363
angles (deg): 60.00 60.00 60.00
Positions (direct):
Tl  0.625  0.124  0.625
Dy  0.000  0.000  0.000
Tl  0.124  0.625  0.625
Sr  0.250  0.250  0.250
Tl  0.625  0.625  0.625
Tl  0.625  0.625  0.124